! MnS2N, optimized geometry, DFT PBE; values from VASP
&SYSTEM
  ibrav = 0, nat = 4, ntyp = 3
/
ATOMIC_SPECIES
S 32.06 S.upf
N 14.01 N.upf
Mn 54.94 Mn.upf
CELL_PARAMETERS angstrom
3.2859 -0.0088 0.0071
0.0328 4.2320 -0.0089
0.3367 1.0508 5.4244
ATOMIC_POSITIONS crystal
S 0.6074 0.5795 0.3668
S 0.9137 0.3337 0.1326
N 0.3222 0.9324 0.8825
Mn 0.7640 0.8819 0.0071
! E above lowest polymorph ... 1.10 eV per formula unit
! SG ... P1 (1)
! Final energy ... -24.87 eV for the cell shown
! Formation energy from raw total energies ... 0.2212 eV/atom
! Magnetic moment ... 0.0 Bohr magnetons per cell